## Th4As3Ir (PBE-GGA)

Data for a geometry-optimized Th4As3Ir structure.

abc: 7.2391 7.4155 8.5216
angles: 90.00 90.00 108.99
Closest atoms and distances in Å follow each position.
Atoms (fractional coordinates):
Th  0.0065  0.7559  0.3670  1 Ir 2.93, 5 As 2.98-3.06
As  0.7500  0.5000  0.6191  6 Th 2.98-3.11
As  0.7500  0.5000  0.1266  6 Th 2.99-3.11
Th  0.5070  0.2352  0.8803  2 Ir 2.85-2.95, 4 As 3.02-3.11
Th  0.5065  0.7559  0.6330  1 Ir 2.93, 5 As 2.98-3.06
Th  0.0070  0.2352  0.1197  2 Ir 2.85-2.95, 4 As 3.02-3.11
As  0.2500  0.5000  0.3809  6 Th 2.98-3.11
Th  0.4930  0.7648  0.1197  2 Ir 2.85-2.95, 4 As 3.02-3.11
Ir  0.2500  0.0000  0.1236  6 Th 2.85-2.95
Th  0.9935  0.2441  0.6330  1 Ir 2.93, 5 As 2.98-3.06
As  0.2500  0.0000  0.6227  6 Th 2.99-3.03
Ir  0.7500  0.0000  0.8764  6 Th 2.85-2.95
As  0.7500  0.0000  0.3773  6 Th 2.99-3.03
Th  0.4935  0.2441  0.3670  1 Ir 2.93, 5 As 2.98-3.06
As  0.2500  0.5000  0.8734  6 Th 2.99-3.11
Th  0.9930  0.7648  0.8803  2 Ir 2.85-2.95, 4 As 3.02-3.11

Output
Total energy ... -7.81 eV/atom
Crystal system ... monoclinic
Calculated density ... 10.33 g cm⁻³
Total moment ... 0.0000 μB per atom
SG ... P2/c


## ThAs12Ir4 (PBE-GGA)

Data for a geometry-optimized ThAs12Ir4 structure.

abc: 7.5392 7.5392 7.5392
angles: 109.47 109.47 109.47
Closest atoms and distances in Å follow each position.
Atoms (fractional coordinates):
Ir  0.0000  0.0000  0.5000  6 As 2.50
As  0.3407  0.4836  0.1429  2 As 2.49-2.77, 2 Ir 2.50
As  0.5164  0.8571  0.6593  2 As 2.49-2.77, 2 Ir 2.50
As  0.8022  0.1429  0.6593  2 As 2.49-2.77, 2 Ir 2.50
Th  0.0000  0.0000  0.0000  12 As 3.22
As  0.3407  0.1978  0.8571  2 As 2.49-2.77, 2 Ir 2.50
As  0.8571  0.3407  0.1978  2 As 2.49-2.77, 2 Ir 2.50
As  0.1429  0.6593  0.8022  2 As 2.49-2.77, 2 Ir 2.50
Ir  0.5000  0.0000  0.0000  6 As 2.50
As  0.4836  0.1429  0.3407  2 As 2.49-2.77, 2 Ir 2.50
As  0.6593  0.5164  0.8571  2 As 2.49-2.77, 2 Ir 2.50
As  0.8571  0.6593  0.5164  2 As 2.49-2.77, 2 Ir 2.50
Ir  0.5000  0.5000  0.5000  6 As 2.50
As  0.1978  0.8571  0.3407  2 As 2.49-2.77, 2 Ir 2.50
Ir  0.0000  0.5000  0.0000  6 As 2.50
As  0.6593  0.8022  0.1429  2 As 2.49-2.77, 2 Ir 2.50
As  0.1429  0.3407  0.4836  2 As 2.49-2.77, 2 Ir 2.50

Output
Total energy ... -6.25 eV/atom
Crystal system ... cubic
Calculated density ... 9.56 g cm⁻³
Total moment ... 0.0000 μB per atom
SG ... Im-3


## Th2ZnAs3Ir4 (PBE-GGA)

Data for a geometry-optimized Th2ZnAs3Ir4 structure.

abc: 4.1479 4.1479 10.7739
angles: 90.00 90.00 90.00
Closest atoms and distances in Å follow each position.
Atoms (fractional coordinates):
Th  0.5000  0.0000  0.2485  8 Ir 3.16-3.39, 6 As 3.18-3.41, 2 Zn 3.41
As  0.0000  0.5000  0.1347  5 Ir 2.41-2.53
Ir  0.5000  0.0000  0.6417  3 As 2.41-2.58, 2 Zn 2.58
Ir  0.0000  0.0000  0.0000  4 As 2.53
Ir  0.5000  0.5000  0.0000  4 As 2.53
As  0.0000  0.0000  0.5000  4 Ir 2.58
Th  0.0000  0.5000  0.7515  8 Ir 3.16-3.39, 6 As 3.18-3.41, 2 Zn 3.41
Zn  0.5000  0.5000  0.5000  4 Ir 2.58
Ir  0.0000  0.5000  0.3583  3 As 2.41-2.58, 2 Zn 2.58
As  0.5000  0.0000  0.8653  5 Ir 2.41-2.53

Output
Total energy ... -7.29 eV/atom
Crystal system ... tetragonal
Calculated density ... 13.64 g cm⁻³
Total moment ... 0.0000 μB per atom
SG ... P-4m2


## Ti2AsIr2 (PBE-GGA)

Data for a geometry-optimized Ti2AsIr2 structure.

abc: 7.4631 7.4631 2.9229
angles: 90.00 90.00 90.00
Closest atoms and distances in Å follow each position.
Atoms (fractional coordinates):
Ir  0.1350  0.3650  0.0000  6 Ti 2.63, 3 Ir 2.85-2.92, 2 As 2.90
Ti  0.8423  0.3423  0.5000  6 Ir 2.63, 2 Ti 2.92
Ti  0.3423  0.1577  0.5000  6 Ir 2.63, 2 Ti 2.92
Ti  0.6577  0.8423  0.5000  6 Ir 2.63, 2 Ti 2.92
As  0.0000  0.0000  0.0000  4 Ir 2.90, 2 As 2.92, 8 Ti 3.17
Ir  0.8650  0.6350  0.0000  6 Ti 2.63, 3 Ir 2.85-2.92, 2 As 2.90
Ti  0.1577  0.6577  0.5000  6 Ir 2.63, 2 Ti 2.92
As  0.5000  0.5000  0.0000  4 Ir 2.90, 2 As 2.92, 8 Ti 3.17
Ir  0.6350  0.1350  0.0000  6 Ti 2.63, 3 Ir 2.85-2.92, 2 As 2.90
Ir  0.3650  0.8650  0.0000  6 Ti 2.63, 3 Ir 2.85-2.92, 2 As 2.90

Output
Total energy ... -8.23 eV/atom
Crystal system ... tetragonal
Calculated density ... 11.32 g cm⁻³
Total moment ... 0.0000 μB per atom
SG ... P4/mbm


## TiAs3Ir (PBE-GGA)

Data for a geometry-optimized TiAs3Ir structure.

abc: 4.8153 4.8153 4.8153
angles: 90.00 90.00 90.00
Closest atoms and distances in Å follow each position.
Atoms (fractional coordinates):
As  0.0000  0.5000  0.0000  2 Ir 2.41
As  0.0000  0.0000  0.5000  2 Ir 2.41
Ir  0.0000  0.0000  0.0000  6 As 2.41
As  0.5000  0.0000  0.0000  2 Ir 2.41
Ti  0.5000  0.5000  0.5000  12 As 3.40

Output
Crystal system ... cubic
Calculated density ... 6.91 g cm⁻³
Total moment ... 0.0002 μB per atom
Excess energy over the best structure of this formula in the dataset ... 0 meV/atom
SG ... Pm-3m


## Ti2AsIr (PBE-GGA)

Data for a geometry-optimized Ti2AsIr structure.

abc: 6.9288 6.9288 5.6533
angles: 52.21 52.21 90.00
Closest atoms and distances in Å follow each position.
Atoms (fractional coordinates):
Ti  0.6314  0.1250  0.2500  2 Ir 2.52, 2 As 2.58
Ir  0.7500  0.2500  0.5000  4 Ti 2.52, 2 As 2.82
Ti  0.8750  0.8814  0.7500  2 Ir 2.52, 2 As 2.58
Ti  0.3750  0.3686  0.7500  2 Ir 2.52, 2 As 2.58
Ti  0.1186  0.6250  0.2500  2 Ir 2.52, 2 As 2.58
Ir  0.0000  0.0000  0.0000  4 Ti 2.52, 2 As 2.82
As  0.5000  0.5000  0.0000  4 Ti 2.58, 2 Ir 2.82
As  0.2500  0.7500  0.5000  4 Ti 2.58, 2 Ir 2.82

Output
Total energy ... -7.68 eV/atom
Crystal system ... tetragonal
Calculated density ... 8.90 g cm⁻³
Total moment ... 0.0000 μB per atom
SG ... I-42d


## Ti8As2Ir (PBE-GGA)

Data for a geometry-optimized Ti8As2Ir structure.

abc: 3.8407 6.7884 7.7706
angles: 113.03 104.31 90.00
Closest atoms and distances in Å follow each position.
Atoms (fractional coordinates):
Ti  0.3263  0.0744  0.6525  3 As 2.63-2.66, 5 Ti 2.67-2.94, 1 Ir 2.86
Ti  0.4187  0.5480  0.8375  2 As 2.61, 3 Ti 2.72-2.78, 1 Ir 2.81
Ti  0.6737  0.9256  0.3475  3 As 2.63-2.66, 5 Ti 2.67-2.94, 1 Ir 2.86
Ti  0.0395  0.7979  0.0791  2 Ir 2.57, 4 Ti 2.67-2.72, 1 As 2.76
Ti  0.8244  0.7276  0.6489  3 As 2.64-2.67, 2 Ti 2.93
Ti  0.1756  0.2725  0.3511  3 As 2.64-2.67, 2 Ti 2.93
Ti  0.5813  0.4520  0.1625  2 As 2.61, 3 Ti 2.72-2.78, 1 Ir 2.81
As  0.8059  0.3232  0.6118  9 Ti 2.61-2.76
Ti  0.9605  0.2021  0.9210  2 Ir 2.57, 4 Ti 2.67-2.72, 1 As 2.76
Ir  0.5000  0.0000  0.0000  8 Ti 2.57-2.86
As  0.1941  0.6768  0.3882  9 Ti 2.61-2.76

Output
Total energy ... -7.95 eV/atom
Crystal system ... monoclinic
Calculated density ... 6.70 g cm⁻³
Total moment ... 0.0000 μB per atom
SG ... C2/m


## TiAsIr2 (PBE-GGA)

Data for a geometry-optimized TiAsIr2 structure.

abc: 5.4183 5.4183 7.0064
angles: 67.25 67.25 90.00
Closest atoms and distances in Å follow each position.
Atoms (fractional coordinates):
As  0.7500  0.2500  0.5000  4 Ir 2.38
Ir  0.6364  0.1250  0.2500  2 As 2.38, 2 Ti 2.45
Ti  0.5000  0.5000  0.0000  4 Ir 2.45
Ir  0.8750  0.8864  0.7500  2 As 2.38, 2 Ti 2.45
Ir  0.1136  0.6250  0.2500  2 As 2.38, 2 Ti 2.45
Ir  0.3750  0.3636  0.7500  2 As 2.38, 2 Ti 2.45
Ti  0.2500  0.7500  0.5000  4 Ir 2.45
As  0.0000  0.0000  0.0000  4 Ir 2.38

Output
Total energy ... -7.52 eV/atom
Crystal system ... tetragonal
Calculated density ... 9.78 g cm⁻³
Total moment ... 0.0000 μB per atom
SG ... I-42d


## ZrTiAs2Ir (PBE-GGA)

Data for a geometry-optimized ZrTiAs2Ir structure.

abc: 4.7746 5.0789 4.7746
angles: 90.00 90.00 90.00
Closest atoms and distances in Å follow each position.
Atoms (fractional coordinates):
Ti  0.5000  0.5000  0.5000  4 Zr 3.38, 8 As 3.49
As  0.5000  0.0000  0.0000  2 Ir 2.39
Ir  0.0000  0.0000  0.0000  4 As 2.39, 2 Zr 2.54
As  0.0000  0.0000  0.5000  2 Ir 2.39
Zr  0.0000  0.5000  0.0000  2 Ir 2.54

Output
Total energy ... -6.32 eV/atom
Crystal system ... tetragonal
Calculated density ... 6.90 g cm⁻³
Total moment ... 0.2660 μB per atom
SG ... P4/mmm


## ZrTiAsIr2 (PBE-GGA)

Data for a geometry-optimized ZrTiAsIr2 structure.

abc: 4.5891 4.6922 4.5891
angles: 90.00 90.00 90.00
Closest atoms and distances in Å follow each position.
Atoms (fractional coordinates):
Ti  0.0000  0.0000  0.0000  4 Ir 2.29, 2 As 2.35
As  0.0000  0.5000  0.0000  2 Ti 2.35
Ir  0.0000  0.0000  0.5000  2 Ti 2.29
Ir  0.5000  0.0000  0.0000  2 Ti 2.29
Zr  0.5000  0.5000  0.5000  4 As 3.24, 8 Ir 3.28

Output
Total energy ... -7.43 eV/atom
Crystal system ... tetragonal
Calculated density ... 10.06 g cm⁻³
Total moment ... 0.0000 μB per atom
SG ... P4/mmm


## Tl2AsIr (PBE-GGA)

Data for a geometry-optimized Tl2AsIr structure.

abc: 5.3813 5.3813 5.3813
angles: 137.92 123.67 72.75
Closest atoms and distances in Å follow each position.
Atoms (fractional coordinates):
Tl  0.0112  0.0112  0.0000  2 Ir 2.83, 2 As 2.98
As  0.7500  0.2500  0.5000  8 Tl 2.98-3.28, 4 Ir 3.19
Tl  0.4888  0.4888  0.0000  2 Ir 2.83, 2 As 2.98
Ir  0.2500  0.7500  0.5000  4 Tl 2.83

Output
Crystal system ... orthorhombic
Calculated density ... 13.20 g cm⁻³
Total moment ... 0.0000 μB per atom
Excess energy over the best structure of this formula in the dataset ... 544 meV/atom
SG ... Immm


## Tl2AsIr (PBE-GGA)

Data for a geometry-optimized Tl2AsIr structure.

abc: 7.2057 5.2304 3.1661
angles: 90.88 62.51 123.31
Closest atoms and distances in Å follow each position.
Atoms (fractional coordinates):
Ir  0.5000  0.5000  0.0000  8 Tl 3.04-3.08, 2 Ir 3.17, 2 As 3.20
As  0.0000  0.5000  0.5000  8 Tl 3.04-3.08, 2 As 3.17, 2 Ir 3.20
Tl  0.5000  0.0000  0.5000  4 As 3.04-3.08, 4 Ir 3.04-3.08, 4 Tl 3.17-3.20
Tl  0.0000  0.0000  0.0000  4 Ir 3.04-3.08, 4 As 3.04-3.08, 4 Tl 3.17-3.20

Output
Crystal system ... monoclinic
Calculated density ... 13.40 g cm⁻³
Total moment ... 0.0000 μB per atom
Excess energy over the best structure of this formula in the dataset ... 550 meV/atom
SG ... C2/m